Entry 1:
! GeTe2F, optimized geometry, DFT PBE; values from VASP
! * offset from the most stable computed form: 0 meV/atom
! * VASP energy: -0.1309 hartree per atom
! * E_form (uncorrected): -36 kJ per mole of atoms
! * size of the total moment: 0.00 μB per cell
! * crystal system: trigonal
&SYSTEM
  ibrav = 0, nat = 4, ntyp = 3
/
ATOMIC_SPECIES
Ge 72.64 Ge.upf
Te 127.60 Te.upf
F 19.00 F.upf
ATOMIC_POSITIONS crystal
Ge 0.500 0.500 0.500
Te 0.909 0.909 0.909
Te 0.091 0.091 0.091
F 0.000 0.000 0.000
CELL_PARAMETERS angstrom
-8.453 0.619 -2.137
-8.610 -0.675 1.348
-8.188 2.970 0.734

***

Entry 2:
! Ge3TeF, optimized geometry, DFT PBE; values from VASP
! * offset from the most stable computed form: 666 meV/atom
! * VASP energy: -0.1129 hartree per atom
! * E_form (uncorrected): 68 kJ per mole of atoms
! * size of the total moment: 0.00 μB per cell
! * crystal system: cubic
&SYSTEM
  ibrav = 0, nat = 5, ntyp = 3
/
ATOMIC_SPECIES
Ge 72.64 Ge.upf
Te 127.60 Te.upf
F 19.00 F.upf
ATOMIC_POSITIONS crystal
Ge 0.000 0.500 0.000
Ge 0.000 0.000 0.500
Ge 0.500 0.000 0.000
Te 0.000 0.000 0.000
F 0.500 0.500 0.500
CELL_PARAMETERS angstrom
-2.257 4.630 -2.062
0.771 -1.917 -5.149
-5.010 -2.381 0.136

***

Entry 3:
! Ge3TeF, optimized geometry, DFT PBE; values from VASP
! * offset from the most stable computed form: 0 meV/atom
! * VASP energy: -0.1374 hartree per atom
! * E_form (uncorrected): 3 kJ per mole of atoms
! * size of the total moment: 0.00 μB per cell
! * crystal system: cubic
&SYSTEM
  ibrav = 0, nat = 5, ntyp = 3
/
ATOMIC_SPECIES
Ge 72.64 Ge.upf
Te 127.60 Te.upf
F 19.00 F.upf
ATOMIC_POSITIONS crystal
Ge 0.000 0.500 0.000
Ge 0.000 0.000 0.500
Ge 0.500 0.000 0.000
Te 0.500 0.500 0.500
F 0.000 0.000 0.000
CELL_PARAMETERS angstrom
4.753 0.000 0.000
0.000 4.753 0.000
0.000 0.000 4.753

***

Entry 4:
! GeTeF, optimized geometry, DFT PBE; values from VASP
! * offset from the most stable computed form: 315 meV/atom
! * VASP energy: -0.1424 hartree per atom
! * E_form (uncorrected): -64 kJ per mole of atoms
! * size of the total moment: 0.00 μB per cell
! * crystal system: trigonal
&SYSTEM
  ibrav = 0, nat = 3, ntyp = 3
/
ATOMIC_SPECIES
Ge 72.64 Ge.upf
Te 127.60 Te.upf
F 19.00 F.upf
ATOMIC_POSITIONS crystal
Ge 0.089 0.000 0.000
Te 0.701 0.667 0.333
F 0.210 0.333 0.667
CELL_PARAMETERS angstrom
-1.111 2.183 -2.418
-0.177 -3.308 -2.905
-3.519 0.950 2.475

***

Entry 5:
! GeTe3F, optimized geometry, DFT PBE; values from VASP
! * offset from the most stable computed form: 168 meV/atom
! * VASP energy: -0.1045 hartree per atom
! * E_form (uncorrected): 33 kJ per mole of atoms
! * size of the total moment: 0.00 μB per cell
! * crystal system: cubic
&SYSTEM
  ibrav = 0, nat = 5, ntyp = 3
/
ATOMIC_SPECIES
Ge 72.64 Ge.upf
Te 127.60 Te.upf
F 19.00 F.upf
ATOMIC_POSITIONS crystal
Ge 0.000 0.000 0.000
Te 0.000 0.500 0.000
Te 0.000 0.000 0.500
Te 0.500 0.000 0.000
F 0.500 0.500 0.500
CELL_PARAMETERS angstrom
5.316 0.000 0.000
0.000 5.316 0.000
0.000 0.000 5.316

***

Entry 6:
! GeTe3F, optimized geometry, DFT PBE; values from VASP
! * offset from the most stable computed form: 0 meV/atom
! * VASP energy: -0.1107 hartree per atom
! * E_form (uncorrected): 16 kJ per mole of atoms
! * size of the total moment: 0.00 μB per cell
! * crystal system: cubic
&SYSTEM
  ibrav = 0, nat = 5, ntyp = 3
/
ATOMIC_SPECIES
Ge 72.64 Ge.upf
Te 127.60 Te.upf
F 19.00 F.upf
ATOMIC_POSITIONS crystal
Ge 0.500 0.500 0.500
Te 0.000 0.500 0.000
Te 0.000 0.000 0.500
Te 0.500 0.000 0.000
F 0.000 0.000 0.000
CELL_PARAMETERS angstrom
-1.101 4.171 2.492
-4.760 -0.416 -1.407
-0.970 -2.692 4.078